Entry 1:
Compound: GaCuTcIr
Source: the Open Quantum Materials Database
Functional: PBE-GGA
Structure: relaxed

a b c (Å): 4.303 4.303 4.303
angles (deg): 60.00 60.00 60.00
Fractional positions:
Ga  0.000  0.000  0.000
Cu  0.250  0.250  0.250
Tc  0.750  0.750  0.750
Ir  0.500  0.500  0.500

## Properties
Calculated total energy in eV per atom: -6.44
Offset from the most stable computed form in meV per atom: 0

***

Entry 2:
Compound: GaCuIrW
Source: the Open Quantum Materials Database
Functional: PBE-GGA
Structure: relaxed

a b c (Å): 4.342 4.342 4.342
angles (deg): 60.00 60.00 60.00
Fractional positions:
Ga  0.000  0.000  0.000
Cu  0.250  0.250  0.250
Ir  0.750  0.750  0.750
W  0.500  0.500  0.500

## Properties
Calculated total energy in eV per atom: -7.06
Offset from the most stable computed form in meV per atom: 0

***

Entry 3:
Compound: YGaCuIr
Source: the Open Quantum Materials Database
Functional: PBE-GGA
Structure: relaxed

a b c (Å): 4.605 4.605 4.605
angles (deg): 60.00 60.00 60.00
Fractional positions:
Y  0.000  0.000  0.000
Ga  0.500  0.500  0.500
Cu  0.750  0.750  0.750
Ir  0.250  0.250  0.250

## Properties
Calculated total energy in eV per atom: -5.91
Offset from the most stable computed form in meV per atom: 0

***

Entry 4:
Compound: Y2Ga4CuIr
Source: the Open Quantum Materials Database
Functional: PBE-GGA
Structure: relaxed

a b c (Å): 6.726 5.535 5.535
angles (deg): 45.09 90.00 90.00
Fractional positions:
Y  0.000  0.000  0.000
Y  0.500  0.155  0.155
Ga  0.199  0.714  0.714
Ga  0.307  0.442  0.442
Ga  0.693  0.442  0.442
Ga  0.801  0.714  0.714
Cu  0.500  0.869  0.869
Ir  0.000  0.285  0.285

## Properties
Calculated total energy in eV per atom: -5.36

***

Entry 5:
Compound: YGaCuIr
Source: the Open Quantum Materials Database
Functional: PBE-GGA
Structure: relaxed

a b c (Å): 4.638 4.638 4.638
angles (deg): 60.00 60.00 60.00
Fractional positions:
Y  0.000  0.000  0.000
Ga  0.250  0.250  0.250
Cu  0.500  0.500  0.500
Ir  0.750  0.750  0.750

## Properties
Calculated total energy in eV per atom: -5.71
Offset from the most stable computed form in meV per atom: 207

***

Entry 6:
Compound: Zr3ZnGa2CuIr2
Source: the Open Quantum Materials Database
Functional: PBE-GGA
Structure: relaxed

a b c (Å): 3.428 7.222 7.222
angles (deg): 120.12 90.00 90.00
Fractional positions:
Zr  0.000  0.000  0.000
Zr  0.000  0.412  0.813
Zr  0.000  0.813  0.412
Zn  0.500  0.667  0.667
Ga  0.500  0.150  0.409
Ga  0.500  0.409  0.150
Cu  0.000  0.407  0.407
Ir  0.500  0.077  0.742
Ir  0.500  0.742  0.077

## Properties
Calculated total energy in eV per atom: -6.71

***

Entry 7:
Compound: K2Ga3CuSe6
Source: the Open Quantum Materials Database
Functional: PBE-GGA
Structure: relaxed

a b c (Å): 7.882 7.882 21.078
angles (deg): 95.34 95.34 90.17
Fractional positions:
K  0.106  0.725  0.920
K  0.269  0.396  0.581
K  0.275  0.894  0.580
K  0.396  0.269  0.081
K  0.604  0.731  0.919
K  0.725  0.106  0.420
K  0.731  0.604  0.419
K  0.894  0.275  0.080
Ga  0.057  0.943  0.750
Ga  0.155  0.780  0.119
Ga  0.220  0.345  0.380
Ga  0.220  0.845  0.381
Ga  0.345  0.220  0.880
Ga  0.432  0.568  0.250
Ga  0.568  0.432  0.750
Ga  0.655  0.780  0.120
Ga  0.780  0.155  0.619
Ga  0.780  0.655  0.620
Ga  0.845  0.220  0.881
Ga  0.943  0.057  0.250
Cu  0.062  0.437  0.750
Cu  0.437  0.062  0.250
Cu  0.563  0.938  0.750
Cu  0.938  0.563  0.250
Se  0.058  0.172  0.680
Se  0.058  0.673  0.682
Se  0.114  0.261  0.951
Se  0.167  0.533  0.180
Se  0.172  0.058  0.180
Se  0.214  0.612  0.451
Se  0.261  0.114  0.451
Se  0.327  0.942  0.818
Se  0.332  0.466  0.818
Se  0.388  0.786  0.049
Se  0.466  0.332  0.318
Se  0.467  0.833  0.320
Se  0.533  0.167  0.680
Se  0.534  0.668  0.682
Se  0.612  0.214  0.951
Se  0.668  0.534  0.182
Se  0.673  0.058  0.182
Se  0.739  0.886  0.549
Se  0.786  0.388  0.549
Se  0.828  0.942  0.820
Se  0.833  0.467  0.820
Se  0.886  0.739  0.049
Se  0.942  0.327  0.318
Se  0.942  0.828  0.320

## Properties
Calculated total energy in eV per atom: -3.81

***

Entry 8:
Compound: KGaCuSe3
Source: the Open Quantum Materials Database
Functional: PBE-GGA
Structure: relaxed

a b c (Å): 8.414 3.756 10.350
angles (deg): 90.00 111.48 90.00
Fractional positions:
K  0.246  0.250  0.282
K  0.754  0.750  0.718
Ga  0.330  0.750  0.885
Ga  0.670  0.250  0.115
Cu  0.077  0.250  0.595
Cu  0.923  0.750  0.405
Se  0.109  0.250  0.841
Se  0.228  0.750  0.545
Se  0.466  0.750  0.144
Se  0.534  0.250  0.856
Se  0.772  0.250  0.455
Se  0.891  0.750  0.159

## Properties
Calculated total energy in eV per atom: -3.60

***

Entry 9:
Compound: KGaCuTe3
Source: the Open Quantum Materials Database
Functional: PBE-GGA
Structure: relaxed

a b c (Å): 9.366 3.910 10.727
angles (deg): 90.00 111.49 90.00
Fractional positions:
K  0.243  0.250  0.289
K  0.757  0.750  0.711
Ga  0.323  0.750  0.863
Ga  0.677  0.250  0.137
Cu  0.057  0.250  0.584
Cu  0.943  0.750  0.416
Te  0.101  0.250  0.840
Te  0.236  0.750  0.566
Te  0.454  0.750  0.141
Te  0.546  0.250  0.859
Te  0.764  0.250  0.434
Te  0.899  0.750  0.160

## Properties
Calculated total energy in eV per atom: -3.23

***

Entry 10:
Compound: LaGa6Cu6
Source: the Open Quantum Materials Database
Functional: PBE-GGA
Structure: relaxed

a b c (Å): 6.723 6.723 6.723
angles (deg): 135.04 99.30 97.51
Fractional positions:
La  0.000  0.000  0.000
Ga  0.204  0.704  0.500
Ga  0.349  0.000  0.349
Ga  0.351  0.351  0.000
Ga  0.649  0.649  0.000
Ga  0.651  0.000  0.651
Ga  0.796  0.296  0.500
Cu  0.000  0.000  0.500
Cu  0.000  0.500  0.000
Cu  0.235  0.500  0.735
Cu  0.500  0.000  0.000
Cu  0.500  0.500  0.500
Cu  0.765  0.500  0.265

## Properties
Calculated total energy in eV per atom: -3.77

***

Entry 11:
Compound: LaGaCu
Source: the Open Quantum Materials Database
Functional: PBE-GGA
Structure: relaxed

a b c (Å): 4.832 4.832 4.832
angles (deg): 60.00 60.00 60.00
Fractional positions:
La  0.000  0.000  0.000
Ga  0.250  0.250  0.250
Cu  0.750  0.750  0.750

## Properties
Calculated total energy in eV per atom: -3.69

***

Entry 12:
Compound: LaGa2Cu2
Source: the Open Quantum Materials Database
Functional: PBE-GGA
Structure: relaxed

a b c (Å): 5.796 5.796 5.796
angles (deg): 135.87 135.87 64.18
Fractional positions:
La  0.000  0.000  0.000
Ga  0.372  0.372  0.000
Ga  0.628  0.628  0.000
Cu  0.250  0.750  0.500
Cu  0.750  0.250  0.500

## Properties
Calculated total energy in eV per atom: -4.13

***

Entry 13:
Compound: LaNd2Ga2Cu4
Source: the Open Quantum Materials Database
Functional: PBE-GGA
Structure: relaxed

a b c (Å): 5.616 5.616 8.427
angles (deg): 98.51 98.51 44.65
Fractional positions:
La  0.000  0.000  0.000
Nd  0.374  0.374  0.621
Nd  0.626  0.626  0.379
Ga  0.320  0.320  0.228
Ga  0.680  0.680  0.772
Cu  0.082  0.082  0.637
Cu  0.269  0.269  0.924
Cu  0.731  0.731  0.076
Cu  0.918  0.918  0.363

## Properties
Calculated total energy in eV per atom: -4.27

***

Entry 14:
Compound: LaNdGa4Cu2
Source: the Open Quantum Materials Database
Functional: PBE-GGA
Structure: relaxed

a b c (Å): 4.225 9.121 9.121
angles (deg): 27.08 90.00 90.00
Fractional positions:
La  0.000  0.000  0.000
Nd  0.000  0.715  0.715
Ga  0.000  0.357  0.357
Ga  0.500  0.146  0.146
Ga  0.500  0.572  0.572
Ga  0.500  0.856  0.856
Cu  0.500  0.281  0.281
Cu  0.500  0.434  0.434

## Properties
Calculated total energy in eV per atom: -4.17

***

Entry 15:
Compound: LaGa5CuNi
Source: the Open Quantum Materials Database
Functional: PBE-GGA
Structure: relaxed

a b c (Å): 6.365 6.365 6.365
angles (deg): 142.81 112.53 79.64
Fractional positions:
La  0.000  0.000  0.000
Ga  0.153  0.349  0.804
Ga  0.468  0.655  0.813
Ga  0.500  0.000  0.500
Ga  0.544  0.349  0.196
Ga  0.842  0.655  0.187
Cu  0.255  0.755  0.500
Ni  0.739  0.239  0.500

## Properties
Calculated total energy in eV per atom: -4.11

***

Entry 16:
Compound: LaGa2CuNi
Source: the Open Quantum Materials Database
Functional: PBE-GGA
Structure: relaxed

a b c (Å): 4.291 4.291 9.869
angles (deg): 90.00 90.00 90.00
Fractional positions:
La  0.250  0.250  0.248
La  0.750  0.750  0.752
Ga  0.250  0.250  0.630
Ga  0.250  0.750  0.000
Ga  0.750  0.250  0.000
Ga  0.750  0.750  0.370
Cu  0.250  0.750  0.500
Cu  0.750  0.250  0.500
Ni  0.250  0.250  0.874
Ni  0.750  0.750  0.126

## Properties
Calculated total energy in eV per atom: -4.57
Offset from the most stable computed form in meV per atom: 0

***

Entry 17:
Compound: LaGa2CuNi
Source: the Open Quantum Materials Database
Functional: PBE-GGA
Structure: relaxed

a b c (Å): 4.282 4.282 9.922
angles (deg): 90.00 90.00 90.00
Fractional positions:
La  0.250  0.250  0.241
La  0.750  0.750  0.759
Ga  0.250  0.250  0.885
Ga  0.250  0.750  0.500
Ga  0.750  0.250  0.500
Ga  0.750  0.750  0.115
Cu  0.250  0.250  0.634
Cu  0.750  0.750  0.366
Ni  0.250  0.750  0.000
Ni  0.750  0.250  0.000

## Properties
Calculated total energy in eV per atom: -4.55
Offset from the most stable computed form in meV per atom: 13

***

Entry 18:
Compound: LaGaCuNiSn
Source: the Open Quantum Materials Database
Functional: PBE-GGA
Structure: relaxed

a b c (Å): 4.418 4.418 10.097
angles (deg): 90.00 90.00 90.00
Fractional positions:
La  0.250  0.250  0.243
La  0.750  0.750  0.757
Ga  0.250  0.750  0.000
Ga  0.750  0.250  0.000
Cu  0.250  0.750  0.500
Cu  0.750  0.250  0.500
Ni  0.250  0.250  0.895
Ni  0.750  0.750  0.105
Sn  0.250  0.250  0.645
Sn  0.750  0.750  0.355

## Properties
Calculated total energy in eV per atom: -4.79
Offset from the most stable computed form in meV per atom: 0

***

Entry 19:
Compound: LaGaCuNiSn
Source: the Open Quantum Materials Database
Functional: PBE-GGA
Structure: relaxed

a b c (Å): 4.394 4.394 10.098
angles (deg): 90.00 90.00 90.00
Fractional positions:
La  0.250  0.250  0.235
La  0.750  0.750  0.765
Ga  0.250  0.250  0.876
Ga  0.750  0.750  0.124
Cu  0.250  0.750  0.000
Cu  0.750  0.250  0.000
Ni  0.250  0.250  0.640
Ni  0.750  0.750  0.360
Sn  0.250  0.750  0.500
Sn  0.750  0.250  0.500

## Properties
Calculated total energy in eV per atom: -4.75
Offset from the most stable computed form in meV per atom: 38

***

Entry 20:
Compound: LaGaCu2P
Source: the Open Quantum Materials Database
Functional: PBE-GGA
Structure: relaxed

a b c (Å): 5.872 5.872 5.872
angles (deg): 138.75 138.75 59.75
Fractional positions:
La  0.000  0.000  0.000
Ga  0.625  0.625  0.000
Cu  0.256  0.756  0.500
Cu  0.756  0.256  0.500
P  0.382  0.382  0.000

## Properties
Calculated total energy in eV per atom: -4.79